# 1
First-principles (PBE) data for a geometry-optimized HfBi3Rh structure, as listed in Alexandria.

It has space group Pm-3m (No. 221), with a = 5.2640 Å, b = 5.2640 Å, c = 5.2640 Å, α = 90.00°, β = 90.00° and γ = 90.00°. The inequivalent atoms are Hf at (0.0000, 0.0000, 0.0000), Bi at (0.0000, 0.5000, 0.5000) and Rh at (0.5000, 0.5000, 0.5000).

Its relative energy among the computed polymorphs is 0 meV/atom. The density of states at the Fermi level is 3.7 states/eV per cell.

# 2
First-principles (PBE) data for a geometry-optimized HfBiRh3 structure, as listed in Alexandria.

It has space group Pm-3m (No. 221), with a = 4.8160 Å, b = 4.8160 Å, c = 4.8160 Å, α = 90.00°, β = 90.00° and γ = 90.00°. The inequivalent atoms are Hf at (0.0000, 0.0000, 0.0000), Bi at (0.5000, 0.5000, 0.5000) and Rh at (0.0000, 0.0000, 0.5000).

Its relative energy among the computed polymorphs is 0 meV/atom. The density of states at the Fermi level is 4.7 states/eV per cell.

# 3
First-principles (PBE) data for a geometry-optimized HfBi2Rh structure, as listed in Alexandria.

It has space group I-42d (No. 122), with a = 4.5026 Å, b = 4.5026 Å, c = 19.4988 Å, α = 90.00°, β = 90.00° and γ = 90.00°. The inequivalent atoms are Hf at (0.0000, 0.0000, 0.0000), Bi at (0.2372, 0.2500, 0.6250) and Rh at (0.0000, 0.0000, 0.5000).

The density of states at the Fermi level is 11.4 states/eV per cell.

# 4
First-principles (PBE) data for a geometry-optimized Hf2BiRh2 structure, as listed in Alexandria.

It has space group P4/mbm (No. 127), with a = 7.7879 Å, b = 7.7879 Å, c = 3.2267 Å, α = 90.00°, β = 90.00° and γ = 90.00°. The inequivalent atoms are Hf at (0.1547, 0.3453, 0.0000), Bi at (0.0000, 0.0000, 0.5000) and Rh at (0.1319, 0.6319, 0.5000).

Its relative energy among the computed polymorphs is 0 meV/atom. The density of states at the Fermi level is 4.3 states/eV per cell.

# 5
First-principles (PBE) data for a geometry-optimized Hf2BiRh2 structure, as listed in Alexandria.

It has space group I4/mmm (No. 139), with a = 4.4544 Å, b = 4.4544 Å, c = 10.9133 Å, α = 90.00°, β = 90.00° and γ = 90.00°. The inequivalent atoms are Hf at (0.0000, 0.5000, 0.2500), Bi at (0.0000, 0.0000, 0.0000) and Rh at (0.0000, 0.0000, 0.3810).

Its relative energy among the computed polymorphs is 169 meV/atom. The density of states at the Fermi level is 8.5 states/eV per cell.

# 6
First-principles (PBE) data for a geometry-optimized HfBi3Rh structure, as listed in Alexandria.

It has space group Pm-3m (No. 221), with a = 5.5453 Å, b = 5.5453 Å, c = 5.5453 Å, α = 90.00°, β = 90.00° and γ = 90.00°. The inequivalent atoms are Hf at (0.0000, 0.0000, 0.0000), Bi at (0.0000, 0.0000, 0.5000) and Rh at (0.5000, 0.5000, 0.5000).

Its relative energy among the computed polymorphs is 317 meV/atom. The density of states at the Fermi level is 2.7 states/eV per cell.

# 7
First-principles (PBE) data for a geometry-optimized HfBi2Rh structure, as listed in Alexandria.

It has space group Fm-3m (No. 225), with a = 7.1030 Å, b = 7.1030 Å, c = 7.1030 Å, α = 90.00°, β = 90.00° and γ = 90.00°. The inequivalent atoms are Hf at (0.0000, 0.0000, 0.0000), Bi at (0.2500, 0.2500, 0.2500) and Rh at (0.0000, 0.0000, 0.5000).

The density of states at the Fermi level is 21.5 states/eV per cell.

# 8
First-principles (PBE) data for a geometry-optimized HfBiRh2 structure, as listed in Alexandria.

It has space group P4/mmm (No. 123), with a = 3.3009 Å, b = 3.3009 Å, c = 6.9964 Å, α = 90.00°, β = 90.00° and γ = 90.00°. The inequivalent atoms are Hf at (0.0000, 0.0000, 0.0000), Bi at (0.0000, 0.0000, 0.5000) and Rh at (0.5000, 0.5000, 0.2115).

The density of states at the Fermi level is 2.2 states/eV per cell.

# 9
First-principles (PBE) data for a geometry-optimized Hf2BiRh2 structure, as listed in Alexandria.

It has space group P4/mbm (No. 127), with a = 8.0039 Å, b = 8.0039 Å, c = 3.1334 Å, α = 90.00°, β = 90.00° and γ = 90.00°. The inequivalent atoms are Hf at (0.1486, 0.3514, 0.0000), Bi at (0.0000, 0.0000, 0.0000) and Rh at (0.1349, 0.6349, 0.5000).

Its relative energy among the computed polymorphs is 193 meV/atom. The density of states at the Fermi level is 6.4 states/eV per cell.

# 10
First-principles (PBE) data for a geometry-optimized Hf5BiRh structure, as listed in Alexandria.

It has space group C2/c (No. 15), with a = 9.4789 Å, b = 7.4205 Å, c = 10.2073 Å, α = 90.00°, β = 114.54° and γ = 90.00°. The inequivalent atoms are Hf at (0.0000, 0.1764, 0.2500), Hf at (0.1235, 0.1169, 0.9984), Hf at (0.2141, 0.1248, 0.7511), Bi at (0.0000, 0.4218, 0.7500) and Rh at (0.2500, 0.2500, 0.5000).

The density of states at the Fermi level is 30.3 states/eV per cell.

# 11
First-principles (PBE) data for a geometry-optimized Hf8BiRh2 structure, as listed in Alexandria.

It has space group C2/m (No. 12), with a = 14.3480 Å, b = 5.6852 Å, c = 5.8451 Å, α = 90.00°, β = 92.90° and γ = 90.00°. The inequivalent atoms are Hf at (0.0963, 0.0000, 0.1262), Hf at (0.1036, 0.2429, 0.6454), Hf at (0.2188, 0.5000, 0.1205), Bi at (0.0000, 0.5000, 0.0000) and Rh at (0.2391, 0.0000, 0.4068).

The density of states at the Fermi level is 22.3 states/eV per cell.

# 12
First-principles (PBE) data for a geometry-optimized HfBiRh2 structure, as listed in Alexandria.

It has space group I-42d (No. 122), with a = 4.3338 Å, b = 4.3338 Å, c = 17.6034 Å, α = 90.00°, β = 90.00° and γ = 90.00°. The inequivalent atoms are Hf at (0.0000, 0.0000, 0.0000), Bi at (0.0000, 0.0000, 0.5000) and Rh at (0.2359, 0.2500, 0.1250).

The density of states at the Fermi level is 11.1 states/eV per cell.

no.,formation enthalpy at 0 K (eV/atom)
1,0.6017
2,0.5221
3,0.1947
4,-0.6513
5,-0.4822
6,0.9183
7,0.0855
8,-0.5619
9,-0.4588
10,0.0821
11,-0.2291
12,-0.0334